Record 1
The following is a PBE calculation of SrTcSbI2 after structural relaxation, from Alexandria via LeMat-Bulk.

```
SrTcSbI2
1.0
5.655 0.000 0.000
0.000 5.655 0.000
0.000 0.000 5.116
I Tc Sr Sb
2 1 1 1
Cartesian
0.000 2.828 0.000
2.828 0.000 0.000
0.000 0.000 0.000
2.828 2.828 2.558
0.000 0.000 2.558
```

## Properties
Crystal system   tetragonal
SG   P4/mmm, No. 123
Uncorrected formation energy   -0.120 eV per atom
Volume   32.72 A^3/atom
E above lowest polymorph   0.000 eV/atom

***

Record 2
The following is a PBE calculation of Mn2ReRu after structural relaxation, from Alexandria via LeMat-Bulk.

```
Mn2ReRu
1.0
-1.050 3.894 -2.036
-2.225 -0.161 3.929
2.050 1.185 1.210
Mn Re Ru
2 1 1
Cartesian
0.000 0.000 0.000
-1.638 1.866 0.946
0.500 2.540 -0.413
-0.087 0.512 2.569
```

## Properties
Crystal system   orthorhombic
SG   Cmmm, No. 65
Volume   12.91 A^3/atom
Calculated formation energy   0.085 eV/atom

***

Record 3
The following is a PBE calculation of SrTcO2 after structural relaxation, from Alexandria via LeMat-Bulk.

```
SrTcO2
1.0
2.952 -1.642 2.425
-0.945 -3.078 2.632
1.382 -3.854 -0.726
Sr O Tc
1 2 1
Cartesian
0.000 0.000 0.000
0.847 -2.143 1.083
2.542 -6.430 3.248
1.694 -4.287 2.165
```

## Properties
Crystal system   cubic
SG   Fm-3m, No. 225
Uncorrected formation energy   -0.759 eV per atom
Volume   12.71 A^3/atom
E above lowest polymorph   0.672 eV/atom

***

Record 4
The following is a PBE calculation of Li3Cd2Ga after structural relaxation, from Alexandria via LeMat-Bulk.

```
Li3Cd2Ga
1.0
6.712 0.000 0.000
0.000 6.974 -1.756
0.000 -4.509 5.602
Li Cd Ga
6 4 2
Cartesian
3.152 -2.693 4.439
6.508 1.233 1.924
3.152 1.232 1.923
3.152 5.158 -0.592
6.508 -2.693 4.439
6.508 5.158 -0.592
1.474 -0.679 3.148
1.474 3.144 0.699
4.830 -0.679 3.148
4.830 3.144 0.699
1.475 0.000 0.000
4.832 2.465 3.847
```

## Properties
Crystal system   orthorhombic
SG   Cmmm, No. 65
Volume   17.43 A^3/atom
Calculated formation energy   -0.256 eV/atom
E above lowest polymorph   0.003 eV/atom

***

Record 5
The following is a PBE calculation of Pm3Nd4Sc after structural relaxation, from Alexandria via LeMat-Bulk.

```
Pm3Nd4Sc
1.0
-5.382 -2.918 1.571
2.915 -6.431 -1.961
3.990 -1.506 10.872
Pm Sc Nd
6 2 8
Cartesian
-0.462 -4.215 2.733
2.296 -3.611 4.929
-0.458 -7.972 8.483
-1.674 -5.898 -0.203
1.526 -4.966 8.149
-2.460 -7.216 3.028
0.332 -6.629 5.232
0.324 -2.862 -0.515
1.710 -6.052 -1.466
-1.149 -3.491 6.210
-3.067 -2.695 0.752
2.882 -8.136 7.130
-3.964 -4.077 3.932
-1.909 -4.853 9.531
3.783 -6.764 3.947
0.946 -7.406 1.856
```

## Properties
Crystal system   orthorhombic
SG   Pmn2_1, No. 31
Volume   33.81 A^3/atom
Calculated formation energy   0.046 eV/atom
E above lowest polymorph   0.000 eV/atom

***

Record 6
The following is a PBE calculation of Pa2Be4GaIr3 after structural relaxation, from Alexandria via LeMat-Bulk.

```
Pa2Be4GaIr3
1.0
3.850 0.000 0.000
0.000 3.850 0.000
0.000 0.000 10.124
Ir Be Pa Ga
3 4 2 1
Cartesian
0.000 1.925 1.367
0.000 0.000 5.062
1.925 0.000 8.757
0.000 1.925 3.723
0.000 0.000 0.000
1.925 0.000 6.401
1.925 1.925 0.000
0.000 1.925 7.629
1.925 0.000 2.496
1.925 1.925 5.062
```

## Properties
Crystal system   tetragonal
SG   P-4m2, No. 115
Volume   15.01 A^3/atom
Calculated formation energy   -0.529 eV/atom